Here is BaScTl2 after structural relaxation from Alexandria via LeMat-Bulk. Energies are from PBE-GGA.

Geometry as CIF:
```
data_BaScTl2
_chemical_formula_sum 'Ba1 Sc1 Tl2'
_space_group_name_H-M_alt 'P 4/m m m'
_space_group_IT_number 123
_space_group_name_Hall '-P 4 2'
_cell_length_a 5.7291
_cell_length_b 5.7291
_cell_length_c 3.8314
_cell_angle_alpha 90.00
_cell_angle_beta 90.00
_cell_angle_gamma 90.00
loop_
_atom_site_label
_atom_site_type_symbol
_atom_site_fract_x
_atom_site_fract_y
_atom_site_fract_z
_atom_site_occupancy
Ba1 Ba 0.0000 0.0000 0.0000 1
Sc1 Sc 0.5000 0.5000 0.0000 1
Tl1 Tl 0.0000 0.5000 0.5000 1
```

## Properties
energy relative to the elements: -0.10 eV/atom